Record 1
Entry from Alexandria via LeMat-Bulk: a geometry-optimized Ag4O3F4 structure (GGA-PBE).

Unit cell a=10.619 b=3.061 c=10.863 alpha=90.00 beta=90.00 gamma=90.00
Space group Amm2 (No. 38)
Asymmetric unit:
Ag (0.000, 0.000, 0.000)
Ag (0.202, 0.000, 0.790)
Ag (0.500, 0.000, 0.073)
O (0.139, 0.000, 0.401)
O (0.500, 0.000, 0.453)
F (0.000, 0.000, 0.649)
F (0.263, 0.000, 0.171)
F (0.500, 0.000, 0.702)

Properties
volume = 177 Å³/f.u.
total magnetic moment = 0.00 μB per atom
formation energy without anion corrections = -454 meV per atom
DFT total energy = -3.52 eV/atom

---

Record 2
Entry from Alexandria via LeMat-Bulk: a geometry-optimized Tb4InTe2Se structure (GGA-PBE).

Unit cell a=7.503 b=4.249 c=7.578 alpha=90.00 beta=108.76 gamma=90.00
Space group P2/m (No. 10)
Asymmetric unit:
Tb (0.240, 0.000, 0.228)
Tb (0.251, 0.500, 0.761)
In (0.500, 0.000, 0.000)
Te (0.000, 0.000, 0.500)
Te (0.500, 0.500, 0.500)
Se (0.000, 0.500, 0.000)

Properties
volume = 229 Å³/f.u.
total magnetic moment = 0.00 μB per atom
formation energy without anion corrections = -1209 meV per atom
DFT total energy = -5.09 eV/atom

---

Record 3
Entry from Alexandria via LeMat-Bulk: a geometry-optimized Re2WSe structure (GGA-PBE).

Unit cell a=3.079 b=4.623 c=9.131 alpha=90.00 beta=90.00 gamma=90.00
Space group Cmmm (No. 65)
Asymmetric unit:
Re (0.000, 0.000, 0.236)
W (0.000, 0.500, 0.000)
Se (0.000, 0.500, 0.500)

Properties
volume = 65 Å³/f.u.
total magnetic moment = 0.00 μB per atom
formation energy without anion corrections = 594 meV per atom
DFT total energy = -9.74 eV/atom

---

Record 4
Entry from Alexandria via LeMat-Bulk: a geometry-optimized Na2LiRe structure (GGA-PBE).

Unit cell a=7.858 b=7.858 c=5.638 alpha=90.00 beta=90.00 gamma=90.00
Space group I-42d (No. 122)
Asymmetric unit:
Na (0.223, 0.250, 0.125)
Li (0.000, 0.000, 0.000)
Re (0.000, 0.000, 0.500)

Properties
volume = 87 Å³/f.u.
total magnetic moment = 0.71 μB per atom
DFT total energy = -2.89 eV/atom
energy above the most stable polymorph in this dataset = 0.30 eV per formula unit
DFT formation energy = 1.360 eV per atom

---

Record 5
Entry from Alexandria via LeMat-Bulk: a geometry-optimized Rb2YRuBr6 structure (GGA-PBE).

Unit cell a=7.708 b=7.708 c=10.875 alpha=90.00 beta=90.00 gamma=90.00
Space group I4/mmm (No. 139)
Asymmetric unit:
Rb (0.000, 0.500, 0.250)
Y (0.000, 0.000, 0.000)
Ru (0.000, 0.000, 0.500)
Br (0.000, 0.000, 0.257)
Br (0.243, 0.243, 0.500)

Properties
volume = 323 Å³/f.u.
total magnetic moment = 0.10 μB per atom
formation energy without anion corrections = -1192 meV per atom
DFT total energy = -3.96 eV/atom

---

Record 6
Entry from Alexandria via LeMat-Bulk: a geometry-optimized Ac3Pm3Tl2Sn structure (GGA-PBE).

Unit cell a=9.1011 b=9.1011 c=4.4030 alpha=90.00 beta=90.00 gamma=120.00
Space group P-62m (No. 189)
Asymmetric unit:
Ac (0.0000, 0.7232, 0.0000)
Pm (0.0000, 0.3939, 0.5000)
Tl (0.3333, 0.6667, 0.0000)
Sn (0.0000, 0.0000, 0.5000)

Properties
volume = 316 Å³/f.u.
total magnetic moment = 0.00 μB per atom
DFT total energy = -4.20 eV/atom
DFT formation energy = -0.278 eV per atom

---

Record 7
Entry from Alexandria via LeMat-Bulk: a geometry-optimized FeB3Sb structure (GGA-PBE).

Unit cell a=3.928 b=3.928 c=3.928 alpha=90.00 beta=90.00 gamma=90.00
Space group Pm-3m (No. 221)
Asymmetric unit:
Fe (0.000, 0.000, 0.000)
B (0.000, 0.000, 0.500)
Sb (0.500, 0.500, 0.500)

Properties
volume = 61 Å³/f.u.
total magnetic moment = 0.00 μB per atom
formation energy without anion corrections = 1118 meV per atom
DFT total energy = -5.41 eV/atom
energy above the most stable polymorph in this dataset = 0.00 eV per formula unit

---

Record 8
Entry from Alexandria via LeMat-Bulk: a geometry-optimized LaPr3Ho6Th2 structure (GGA-PBE).

Unit cell a=6.262 b=10.845 c=11.760 alpha=90.00 beta=100.27 gamma=90.00
Space group C2/m (No. 12)
Asymmetric unit:
La (0.000, 0.000, 0.000)
Pr (0.000, 0.166, 0.500)
Pr (0.000, 0.500, 0.500)
Ho (0.243, 0.500, 0.245)
Ho (0.249, 0.330, 0.755)
Th (0.000, 0.333, 0.000)

Properties
volume = 393 Å³/f.u.
total magnetic moment = 0.00 μB per atom
DFT total energy = -5.11 eV/atom
DFT formation energy = 0.022 eV per atom

---

Q: The lowest volume belongs to which entry?
A: FeB3Sb